Entry 1:
# PBE-GGA Cs2TlCdCl4, optimized geometry
# - E_tot: -2.78 eV/atom
# - Total magnetization: 0.00 Bohr magnetons per cell
# - Volume: 41.7 Å³ per atom
data_Cs2TlCdCl4
_chemical_formula_sum 'Cs16 Tl8 Cd8 Cl32'
_cell_length_a 5.6411
_cell_length_b 16.2088
_cell_length_c 29.1843
_cell_angle_alpha 90.00
_cell_angle_beta 90.00
_cell_angle_gamma 90.00
_space_group_name_H-M_alt 'F d d d'
_space_group_IT_number 70
loop_
_space_group_symop_operation_xyz
'x,y,z'
'-x,-y,-z'
'-x+1/4,-y+1/4,z'
'x+1/4,y+1/4,-z'
'x,-y+1/4,-z+1/4'
'-x,y+1/4,z+1/4'
'-x+1/4,y,-z+1/4'
'x+1/4,-y,z+1/4'
'x,y+1/2,z+1/2'
'-x,-y+1/2,-z+1/2'
'-x+1/4,-y+3/4,z+1/2'
'x+1/4,y+3/4,-z+1/2'
'x,-y+3/4,-z+3/4'
'-x,y+3/4,z+3/4'
'-x+1/4,y+1/2,-z+3/4'
'x+1/4,-y+1/2,z+3/4'
'x+1/2,y,z+1/2'
'-x+1/2,-y,-z+1/2'
'-x+3/4,-y+1/4,z+1/2'
'x+3/4,y+1/4,-z+1/2'
'x+1/2,-y+1/4,-z+3/4'
'-x+1/2,y+1/4,z+3/4'
'-x+3/4,y,-z+3/4'
'x+3/4,-y,z+3/4'
'x+1/2,y+1/2,z'
'-x+1/2,-y+1/2,-z'
'-x+3/4,-y+3/4,z'
'x+3/4,y+3/4,-z'
'x+1/2,-y+3/4,-z+1/4'
'-x+1/2,y+3/4,z+1/4'
'-x+3/4,y+1/2,-z+1/4'
'x+3/4,-y+1/2,z+1/4'
loop_
_atom_site_label
_atom_site_type_symbol
_atom_site_fract_x
_atom_site_fract_y
_atom_site_fract_z
Cs1 Cs 0.1250 0.1250 0.2890
Tl1 Tl 0.1250 0.1250 0.1250
Cd1 Cd 0.1250 0.1250 0.6250
Cl1 Cl 0.1140 0.2585 0.8119

Entry 2:
# PBE-GGA La6Ho2Th, optimized geometry
# - Total magnetization: 0.00 Bohr magnetons per cell
# - Energy relative to the lowest polymorph listed for this composition: 0 kJ/mol of formula units
# - Volume: 35.5 Å³ per atom
data_La6Ho2Th
_chemical_formula_sum 'La6 Ho2 Th1'
_cell_length_a 3.6568
_cell_length_b 3.6568
_cell_length_c 27.5664
_cell_angle_alpha 90.00
_cell_angle_beta 90.00
_cell_angle_gamma 120.00
_space_group_name_H-M_alt 'P -6 m 2'
_space_group_IT_number 187
_space_group_name_Hall 'P -6 2'
loop_
_atom_site_label
_atom_site_type_symbol
_atom_site_fract_x
_atom_site_fract_y
_atom_site_fract_z
La1 La 0.0000 0.0000 0.0667
La2 La 0.0000 0.0000 0.2767
La3 La 0.3333 0.6667 0.3925
Ho1 Ho 0.3333 0.6667 0.1704
Th1 Th 0.0000 0.0000 0.5000

Entry 3:
# PBE-GGA BaCa2La, optimized geometry
# - Total magnetization: 0.00 Bohr magnetons per cell
# - Energy relative to the lowest polymorph listed for this composition: 16 kJ/mol of formula units
# - Volume: 45.0 Å³ per atom
data_BaCa2La
_chemical_formula_sum 'Ba4 Ca8 La4'
_cell_length_a 8.9598
_cell_length_b 8.9598
_cell_length_c 8.9598
_cell_angle_alpha 90.00
_cell_angle_beta 90.00
_cell_angle_gamma 90.00
_space_group_name_H-M_alt 'F m -3 m'
_space_group_IT_number 225
_space_group_name_Hall '-F 4 2 3'
loop_
_atom_site_label
_atom_site_type_symbol
_atom_site_fract_x
_atom_site_fract_y
_atom_site_fract_z
Ba1 Ba 0.0000 0.0000 0.0000
Ca1 Ca 0.2500 0.2500 0.2500
La1 La 0.0000 0.0000 0.5000

Entry 4:
# PBE-GGA SrZrTeN2, optimized geometry
# - Total magnetization: 1.19 Bohr magnetons per cell
# - Energy relative to the lowest polymorph listed for this composition: 0 kJ/mol of formula units
# - Volume: 22.7 Å³ per atom
data_SrZrTeN2
_chemical_formula_sum 'Sr1 Zr1 Te1 N2'
_cell_length_a 4.3821
_cell_length_b 4.3821
_cell_length_c 5.8985
_cell_angle_alpha 90.00
_cell_angle_beta 90.00
_cell_angle_gamma 90.00
_space_group_name_H-M_alt 'P 4/m m m'
_space_group_IT_number 123
_space_group_name_Hall '-P 4 2'
loop_
_atom_site_label
_atom_site_type_symbol
_atom_site_fract_x
_atom_site_fract_y
_atom_site_fract_z
Sr1 Sr 0.0000 0.0000 0.0000
Zr1 Zr 0.5000 0.5000 0.5000
Te1 Te 0.5000 0.5000 0.0000
N1 N 0.0000 0.5000 0.5000

Entry 5:
# PBE-GGA Ho6CoHg2, optimized geometry
# - E_tot: -4.15 eV/atom
# - Total magnetization: 0.00 Bohr magnetons per cell
# - Volume: 27.5 Å³ per atom
data_Ho6CoHg2
_chemical_formula_sum 'Ho12 Co2 Hg4'
_cell_length_a 6.8837
_cell_length_b 7.1585
_cell_length_c 12.1632
_cell_angle_alpha 90.00
_cell_angle_beta 124.37
_cell_angle_gamma 90.00
_space_group_name_H-M_alt 'P 1 21/c 1'
_space_group_IT_number 14
loop_
_space_group_symop_operation_xyz
'x,y,z'
'-x,-y,-z'
'-x,y+1/2,-z+1/2'
'x,-y+1/2,z+1/2'
loop_
_atom_site_label
_atom_site_type_symbol
_atom_site_fract_x
_atom_site_fract_y
_atom_site_fract_z
Ho1 Ho 0.1491 0.1991 0.4553
Ho2 Ho 0.2540 0.7005 0.4517
Ho3 Ho 0.3505 0.0071 0.2501
Co1 Co 0.5000 0.0000 0.5000
Hg1 Hg 0.2179 0.0777 0.7490

Entry 6:
# PBE-GGA Tb2Pm4Dy, optimized geometry
# - Total magnetization: 0.00 Bohr magnetons per cell
# - Energy relative to the lowest polymorph listed for this composition: 24 kJ/mol of formula units
# - Volume: 33.8 Å³ per atom
data_Tb2Pm4Dy
_chemical_formula_sum 'Tb8 Pm16 Dy4'
_cell_length_a 5.3518
_cell_length_b 11.3688
_cell_length_c 15.5688
_cell_angle_alpha 90.00
_cell_angle_beta 90.00
_cell_angle_gamma 90.00
_space_group_name_H-M_alt 'C m c e'
_space_group_IT_number 64
_space_group_name_Hall '-C 2ac 2'
loop_
_atom_site_label
_atom_site_type_symbol
_atom_site_fract_x
_atom_site_fract_y
_atom_site_fract_z
Tb1 Tb 0.0000 0.1061 0.1566
Pm1 Pm 0.0000 0.0997 0.6938
Pm2 Pm 0.0000 0.2060 0.9296
Dy1 Dy 0.0000 0.0000 0.5000

Entry 7:
# PBE-GGA ZnW3, optimized geometry
# - Total magnetization: 0.00 Bohr magnetons per cell
# - Energy relative to the lowest polymorph listed for this composition: 60 kJ/mol of formula units
# - Volume: 15.6 Å³ per atom
data_ZnW3
_chemical_formula_sum 'Zn1 W3'
_cell_length_a 3.9647
_cell_length_b 3.9647
_cell_length_c 3.9647
_cell_angle_alpha 90.00
_cell_angle_beta 90.00
_cell_angle_gamma 90.00
_space_group_name_H-M_alt 'P m -3 m'
_space_group_IT_number 221
_space_group_name_Hall '-P 4 2 3'
loop_
_atom_site_label
_atom_site_type_symbol
_atom_site_fract_x
_atom_site_fract_y
_atom_site_fract_z
Zn1 Zn 0.0000 0.0000 0.0000
W1 W 0.0000 0.5000 0.5000

Entry 8:
# PBE-GGA PrEr2Ir, optimized geometry
# - Total magnetization: 0.00 Bohr magnetons per cell
# - Energy relative to the lowest polymorph listed for this composition: 58 kJ/mol of formula units
# - Volume: 30.6 Å³ per atom
data_PrEr2Ir
_chemical_formula_sum 'Pr3 Er6 Ir3'
_cell_length_a 4.0389
_cell_length_b 4.0389
_cell_length_c 25.9508
_cell_angle_alpha 90.00
_cell_angle_beta 90.00
_cell_angle_gamma 120.00
_space_group_name_H-M_alt 'R 3 m'
_space_group_IT_number 160
_space_group_name_Hall 'R 3 -2"'
loop_
_atom_site_label
_atom_site_type_symbol
_atom_site_fract_x
_atom_site_fract_y
_atom_site_fract_z
Pr1 Pr 0.0000 0.0000 0.0000
Er1 Er 0.0000 0.0000 0.5519
Er2 Er 0.0000 0.0000 0.7757
Ir1 Ir 0.0000 0.0000 0.1638